[1]
Computed, not measured: a relaxed structure of KSnPb2S4 at the PBE level of DFT.

Properties
**Symmetry**: Imma, No. 74
**Energy relative to the elements, uncorrected**: -0.56 eV/atom
**E**: -4.183 eV per atom
**Calculated volume**: 26.26 Å³/atom
**D(E_F)**: 0.911 states/eV/atom

Lattice parameters (Å, degrees): 8.3951 8.3951 8.3951 120.24 119.16 90.53
Closest atoms and distances in Å follow each position.
Fractional positions:
K 0.5000 0.0000 0.0000  6 S 3.01-3.06
K 0.5000 0.5000 0.5000  6 S 3.01-3.06
Sn 0.0000 0.0000 0.0000  6 S 2.86-2.92
Sn 0.5000 0.0000 0.5000  6 S 2.86-2.92
Pb 0.0000 0.0000 0.5000  6 S 2.90-2.91
Pb 0.0000 0.5000 0.0000  6 S 2.90-2.91
Pb 0.0000 0.5000 0.5000  6 S 3.04-3.05
Pb 0.5000 0.5000 0.0000  6 S 3.04-3.05
S 0.2292 0.2420 0.9872  1 Sn 2.86, 3 Pb 2.91-3.05, 2 K 3.06
S 0.2453 0.7580 0.4872  1 Sn 2.86, 3 Pb 2.91-3.05, 2 K 3.06
S 0.2456 0.2357 0.4901  3 Pb 2.90-3.04, 2 Sn 2.92, 1 K 3.01
S 0.2456 0.7555 0.0099  3 Pb 2.90-3.04, 2 Sn 2.92, 1 K 3.01
S 0.7544 0.2445 0.9901  3 Pb 2.90-3.04, 2 Sn 2.92, 1 K 3.01
S 0.7544 0.7643 0.5099  3 Pb 2.90-3.04, 2 Sn 2.92, 1 K 3.01
S 0.7547 0.2420 0.5128  1 Sn 2.86, 3 Pb 2.91-3.05, 2 K 3.06
S 0.7708 0.7580 0.0128  1 Sn 2.86, 3 Pb 2.91-3.05, 2 K 3.06

---

[2]
Computed, not measured: a relaxed structure of TmPd9Au2 at the PBE level of DFT.

Properties
**Symmetry**: P4/mmm, No. 123
**ΔE_f**: -333 meV/atom
**E**: -5.147 eV per atom
**Calculated volume**: 16.41 Å³/atom
**D(E_F)**: 1.073 states/eV/atom

Lattice parameters (Å, degrees): 4.0372 4.0372 12.0781 90.00 90.00 90.00
Closest atoms and distances in Å follow each position.
Fractional positions:
Tm 0.0000 0.0000 0.0000  12 Pd 2.85-2.88
Pd 0.0000 0.5000 0.1704  8 Pd 2.83-2.88, 2 Au 2.85, 2 Tm 2.88
Pd 0.0000 0.5000 0.5000  4 Au 2.82, 8 Pd 2.84-2.85
Pd 0.0000 0.5000 0.8296  8 Pd 2.83-2.88, 2 Au 2.85, 2 Tm 2.88
Pd 0.5000 0.0000 0.1704  8 Pd 2.83-2.88, 2 Au 2.85, 2 Tm 2.88
Pd 0.5000 0.0000 0.5000  4 Au 2.82, 8 Pd 2.84-2.85
Pd 0.5000 0.0000 0.8296  8 Pd 2.83-2.88, 2 Au 2.85, 2 Tm 2.88
Pd 0.5000 0.5000 0.0000  4 Tm 2.85, 8 Pd 2.88
Pd 0.5000 0.5000 0.3348  8 Pd 2.83-2.84, 4 Au 2.85
Pd 0.5000 0.5000 0.6652  8 Pd 2.83-2.84, 4 Au 2.85
Au 0.0000 0.0000 0.3370  12 Pd 2.82-2.85
Au 0.0000 0.0000 0.6630  12 Pd 2.82-2.85

---

[3]
Computed, not measured: a relaxed structure of Na2PmAlSe4 at the PBE level of DFT.

Properties
**Symmetry**: Imma, No. 74
**Energy relative to the elements, uncorrected**: -1.26 eV/atom
**E**: -4.398 eV per atom
**Calculated volume**: 24.54 Å³/atom

Lattice parameters (Å, degrees): 8.2331 8.2331 8.2331 122.48 117.93 89.69
Closest atoms and distances in Å follow each position.
Fractional positions:
Na 0.0000 0.0000 0.0000  6 Se 2.91-2.93
Na 0.5000 0.0000 0.0000  6 Se 3.10-3.17
Na 0.5000 0.0000 0.5000  6 Se 2.91-2.93
Na 0.5000 0.5000 0.5000  6 Se 3.10-3.17
Pm 0.0000 0.5000 0.5000  6 Se 2.91-2.95
Pm 0.5000 0.5000 0.0000  6 Se 2.91-2.95
Al 0.0000 0.0000 0.5000  6 Se 2.66-2.74
Al 0.0000 0.5000 0.0000  6 Se 2.66-2.74
Se 0.2071 0.2488 0.9584  2 Al 2.66, 1 Na 2.93, 1 Pm 2.95
Se 0.2096 0.7512 0.4584  2 Al 2.66, 1 Na 2.93, 1 Pm 2.95
Se 0.2345 0.2340 0.4995  1 Al 2.74, 2 Na 2.91, 2 Pm 2.91
Se 0.2345 0.7350 0.0005  1 Al 2.74, 2 Na 2.91, 2 Pm 2.91
Se 0.7655 0.2650 0.9995  1 Al 2.74, 2 Na 2.91, 2 Pm 2.91
Se 0.7655 0.7660 0.5005  1 Al 2.74, 2 Na 2.91, 2 Pm 2.91
Se 0.7904 0.2488 0.5416  2 Al 2.66, 1 Na 2.93, 1 Pm 2.95
Se 0.7929 0.7512 0.0416  2 Al 2.66, 1 Na 2.93, 1 Pm 2.95

---

[4]
Computed, not measured: a relaxed structure of K2CrNiTe at the PBE level of DFT.

Properties
**Symmetry**: P4/mmm, No. 123
**Energy relative to the elements, uncorrected**: 0.40 eV/atom
**E**: -3.744 eV per atom
**Calculated volume**: 37.05 Å³/atom
**D(E_F)**: 0.539 states/eV/atom

Lattice parameters (Å, degrees): 6.3054 6.3054 4.6595 90.00 90.00 90.00
Closest atoms and distances in Å follow each position.
Fractional positions:
K 0.0000 0.5000 0.0000  2 Ni 3.15
K 0.5000 0.0000 0.0000  2 Ni 3.15
Cr 0.0000 0.0000 0.5000  8 K 3.92
Ni 0.5000 0.5000 0.0000  2 Te 2.33
Te 0.5000 0.5000 0.5000  2 Ni 2.33

---

[5]
Computed, not measured: a relaxed structure of Sb2AsI at the PBE level of DFT.

Properties
**Symmetry**: Fm-3m, No. 225
**Energy relative to the elements, uncorrected**: 0.42 eV/atom
**E**: -3.192 eV per atom
**ΔE to the lowest computed polymorph**: 377 meV/atom
**Calculated volume**: 26.52 Å³/atom
**D(E_F)**: 0.665 states/eV/atom

Lattice parameters (Å, degrees): 5.3136 5.3136 5.3136 60.00 60.00 60.00
Closest atoms and distances in Å follow each position.
Fractional positions:
Sb 0.2500 0.2500 0.2500  4 As 3.25, 4 I 3.25
Sb 0.7500 0.7500 0.7500  4 As 3.25, 4 I 3.25
As 0.0000 0.0000 0.0000  8 Sb 3.25
I 0.5000 0.5000 0.5000  8 Sb 3.25

---

[6]
Computed, not measured: a relaxed structure of Ta3CrCd at the PBE level of DFT.

Properties
**Symmetry**: Pm-3m, No. 221
**ΔE_f**: 942 meV/atom
**E**: -8.277 eV per atom
**ΔE to the lowest computed polymorph**: 0 meV/atom
**Calculated volume**: 20.07 Å³/atom
**D(E_F)**: 0.817 states/eV/atom

Lattice parameters (Å, degrees): 4.6466 4.6466 4.6466 90.00 90.00 90.00
Closest atoms and distances in Å follow each position.
Fractional positions:
Ta 0.0000 0.0000 0.5000  2 Cr 2.32
Ta 0.0000 0.5000 0.0000  2 Cr 2.32
Ta 0.5000 0.0000 0.0000  2 Cr 2.32
Cr 0.0000 0.0000 0.0000  6 Ta 2.32
Cd 0.5000 0.5000 0.5000  12 Ta 3.29

---

[7]
Computed, not measured: a relaxed structure of TiPtCl3 at the PBE level of DFT.

Properties
**Symmetry**: Pm-3m, No. 221
**Energy relative to the elements, uncorrected**: -0.19 eV/atom
**E**: -4.086 eV per atom
**ΔE to the lowest computed polymorph**: 0 meV/atom
**Calculated volume**: 21.27 Å³/atom
**D(E_F)**: 0.832 states/eV/atom

Lattice parameters (Å, degrees): 4.7378 4.7378 4.7378 90.00 90.00 90.00
Closest atoms and distances in Å follow each position.
Fractional positions:
Ti 0.0000 0.0000 0.0000  6 Cl 2.37
Pt 0.5000 0.5000 0.5000  12 Cl 3.35
Cl 0.0000 0.0000 0.5000  2 Ti 2.37
Cl 0.0000 0.5000 0.0000  2 Ti 2.37
Cl 0.5000 0.0000 0.0000  2 Ti 2.37

---

[8]
Computed, not measured: a relaxed structure of CdCoCl at the PBE level of DFT.

Properties
**Symmetry**: I4mm, No. 107
**Energy relative to the elements, uncorrected**: 0.15 eV/atom
**E**: -3.142 eV per atom
**ΔE to the lowest computed polymorph**: 162 meV/atom
**Calculated volume**: 18.90 Å³/atom
**D(E_F)**: 0.940 states/eV/atom

Lattice parameters (Å, degrees): 6.4740 6.4740 6.4740 152.78 152.78 38.88
Closest atoms and distances in Å follow each position.
Fractional positions:
Cd 0.0000 0.0000 0.0000  4 Co 2.83, 4 Cd 3.05, 1 Cl 3.11
Co 0.6504 0.6504 0.0000  4 Cl 2.50
Cl 0.2545 0.2545 0.0000  4 Co 2.50

---

[9]
Computed, not measured: a relaxed structure of Hf2HS at the PBE level of DFT.

Properties
**Symmetry**: R3m, No. 160
**E**: -7.485 eV per atom
**ΔE to the lowest computed polymorph**: 0 meV/atom
**Calculated volume**: 16.86 Å³/atom
**D(E_F)**: 0.767 states/eV/atom

Lattice parameters (Å, degrees): 6.9516 6.9516 6.9516 28.46 28.46 28.46
Closest atoms and distances in Å follow each position.
Fractional positions:
Hf 0.0000 0.0000 0.0000  1 H 2.04
Hf 0.4587 0.4587 0.4587  3 H 2.03
H 0.1020 0.1020 0.1020  4 Hf 2.03-2.04
S 0.5858 0.5858 0.5858  4 Hf 2.54-2.55

---

[10]
Computed, not measured: a relaxed structure of TaTl2Os at the PBE level of DFT.

Properties
**Symmetry**: F-43m, No. 216
**ΔE_f**: 889 meV/atom
**E**: -6.065 eV per atom
**ΔE to the lowest computed polymorph**: 590 meV/atom
**Calculated volume**: 19.90 Å³/atom
**D(E_F)**: 0.724 states/eV/atom

Lattice parameters (Å, degrees): 4.8282 4.8282 4.8282 60.00 60.00 60.00
Closest atoms and distances in Å follow each position.
Fractional positions:
Ta 0.0000 0.0000 0.0000  4 Tl 2.96, 4 Os 2.96
Tl 0.5000 0.5000 0.5000  4 Tl 2.96, 4 Os 2.96
Tl 0.7500 0.7500 0.7500  4 Ta 2.96, 4 Tl 2.96
Os 0.2500 0.2500 0.2500  4 Tl 2.96, 4 Ta 2.96